--- P ---
Pm3Sm7Dy2 | PBE-GGA | optimized geometry

```
Pm3Sm7Dy2
1.0
3.6095 0.0000 0.0000
0.0000 5.9088 0.2766
0.0000 -1.9352 18.9635
Pm Sm Dy
3 7 2
direct
0.0000 0.2185 0.3667
0.0000 0.7815 0.6333
0.5000 0.5000 0.0000
0.5000 0.7428 0.4640
0.5000 0.1874 0.1797
0.0000 0.6854 0.1448
0.5000 0.2572 0.5360
0.0000 0.3146 0.8552
0.0000 0.0000 0.0000
0.5000 0.8126 0.8203
0.5000 0.7090 0.2950
0.5000 0.2910 0.7050
```

## Properties
Fermi-level density of states   16.10 states/eV/f.u.
Total moment   0.00 μB/atom

---

--- Q ---
Pm3Sm7Dy2 | PBE-GGA | optimized geometry

```
Pm3Sm7Dy2
1.0
-3.2407 -5.3534 -2.0946
1.1835 -2.4279 -6.0211
7.4523 -9.1862 1.5527
Sm Dy Pm
7 2 3
direct
0.0801 0.5861 0.7476
0.5861 0.0801 0.7476
0.4139 0.9199 0.2524
0.5000 0.5000 0.5000
0.9199 0.4139 0.2524
0.4139 0.4139 0.2524
0.5861 0.5861 0.7476
0.6661 0.6661 0.0016
0.3339 0.3339 0.9984
0.1528 0.1528 0.5417
0.0000 0.0000 0.0000
0.8472 0.8472 0.4583
```

## Properties
Fermi-level density of states   20.22 states/eV/f.u.
Total moment   0.00 μB/atom

---

Least stable structure: Q

---

--- P ---
Pm3SmDy4 | PBE-GGA | optimized geometry

```
Pm3SmDy4
1.0
3.4382 0.5004 -0.9427
1.6114 10.3491 -2.3664
-1.7549 0.8080 7.8202
Pm Dy Sm
3 4 1
direct
0.0000 0.0000 0.5000
0.0000 0.5000 0.0000
0.5000 0.5000 0.5000
0.5007 0.2496 0.7504
0.0000 0.7504 0.7503
0.4993 0.7504 0.2496
0.0000 0.2496 0.2497
0.5000 0.0000 0.0000
```

## Properties
Fermi-level density of states   11.39 states/eV/f.u.
Total moment   0.00 μB/atom

---

--- Q ---
Pm3SmDy4 | PBE-GGA | optimized geometry

```
Pm3SmDy4
1.0
-5.4202 -2.3778 -2.1887
2.8377 -0.2701 -6.7338
3.8485 -10.6593 2.0493
Dy Pm Sm
8 6 2
direct
0.1479 0.8775 0.0000
0.4808 0.8776 0.2502
0.6480 0.1224 0.0000
0.6479 0.1225 0.5000
0.1480 0.8776 0.5000
0.9808 0.1224 0.2498
0.4808 0.8776 0.7498
0.9808 0.1224 0.7502
0.9815 0.6269 0.2499
0.6474 0.6270 0.0000
0.1474 0.3730 0.5000
0.4815 0.3731 0.2501
0.4815 0.3731 0.7499
0.9815 0.6269 0.7501
0.1475 0.3725 0.0000
0.6475 0.6275 0.5000
```

## Properties
Fermi-level density of states   14.44 states/eV/f.u.
Total moment   0.00 μB/atom

---

Least stable structure: Q

---

--- P ---
Pm6Sm3Dy | PBE-GGA | optimized geometry

```
Pm6Sm3Dy
1.0
-1.0819 5.0897 3.8239
-10.5099 -3.2544 1.3581
7.9344 -3.5012 6.9051
Pm Sm Dy
12 6 2
direct
0.0555 0.3723 0.2885
0.3688 0.5251 0.9425
0.3643 0.9647 0.0353
0.5555 0.2885 0.3723
0.8643 0.0353 0.9647
0.5555 0.6277 0.7115
0.8688 0.4749 0.0575
0.1506 0.7229 0.2771
0.8688 0.9425 0.5251
0.6506 0.2771 0.7229
0.3688 0.0575 0.4749
0.0555 0.7115 0.6277
0.9626 0.0577 0.2903
0.4626 0.9423 0.7097
0.9626 0.7097 0.9423
0.5813 0.6153 0.3847
0.4626 0.2903 0.0577
0.0813 0.3847 0.6153
0.1155 0.1925 0.8075
0.6155 0.8075 0.1925
```

## Properties
Fermi-level density of states   13.21 states/eV/f.u.
Total moment   0.00 μB/atom

---

--- Q ---
Pm6Sm3Dy | PBE-GGA | optimized geometry

```
Pm6Sm3Dy
1.0
8.8347 0.0000 4.6883
3.1734 8.2451 4.6883
2.2293 1.5307 6.4674
Sm Pm Dy
3 6 1
direct
0.1003 0.1003 0.6991
0.3501 0.3501 0.9498
0.5998 0.5998 0.2006
0.2726 0.9271 0.1982
0.0978 0.4273 0.7020
0.7728 0.0978 0.7020
0.9271 0.6021 0.1982
0.6021 0.2726 0.1982
0.4273 0.7728 0.7020
0.8500 0.8500 0.4499
```

## Properties
Fermi-level density of states   20.39 states/eV/f.u.
Total moment   0.00 μB/atom

---

Least stable structure: Q

---

--- P ---
Pm3Sm3Dy2 | PBE-GGA | optimized geometry

```
Pm3Sm3Dy2
1.0
5.7984 0.0000 0.0000
0.0000 6.0447 -0.2256
-2.8992 -2.7175 7.7892
Pm Dy Sm
3 2 3
direct
0.8660 0.3092 0.7321
0.0000 0.0000 0.0000
0.1340 0.6908 0.2679
0.7499 0.6823 0.4998
0.2501 0.3177 0.5002
0.5000 0.5000 0.0000
0.6335 0.0785 0.2671
0.3665 0.9215 0.7329
```

## Properties
Fermi-level density of states   13.52 states/eV/f.u.
Total moment   0.00 μB/atom

---

--- Q ---
Pm3Sm3Dy2 | PBE-GGA | optimized geometry

```
Pm3Sm3Dy2
1.0
6.1777 1.4467 0.0000
-1.3251 5.6557 0.0000
0.0000 0.0000 14.6717
Pm Sm Dy
6 6 4
direct
0.3375 0.7501 0.7500
0.1674 0.2501 0.6245
0.6625 0.2499 0.2500
0.8326 0.7499 0.1245
0.1674 0.2501 0.8755
0.8326 0.7499 0.3755
0.3332 0.7499 0.4996
0.6668 0.2501 0.9996
0.6668 0.2501 0.5004
0.3287 0.7499 0.2500
0.6713 0.2501 0.7500
0.3332 0.7499 0.0004
0.8356 0.7501 0.8748
0.1644 0.2499 0.3748
0.1644 0.2499 0.1252
0.8356 0.7501 0.6252
```

## Properties
Fermi-level density of states   14.10 states/eV/f.u.
Total moment   0.00 μB/atom

---

Least stable structure: P

---

--- P ---
PmSm2Dy8 | PBE-GGA | optimized geometry

```
PmSm2Dy8
1.0
-4.5505 1.1370 2.9315
-4.2563 0.7170 -6.8853
2.6359 -8.7247 2.2574
Dy Sm Pm
8 2 1
direct
0.6383 0.8453 0.2765
0.3618 0.5689 0.7235
0.6382 0.4311 0.2765
0.3617 0.1547 0.7235
0.1613 0.1613 0.3227
0.0000 0.2940 0.0000
0.8387 0.8387 0.6773
0.0000 0.7060 0.0000
0.7998 0.2998 0.5995
0.2002 0.7002 0.4005
0.5000 0.0000 0.0000
```

## Properties
Fermi-level density of states   15.13 states/eV/f.u.
Total moment   0.00 μB/atom

---

--- Q ---
PmSm2Dy8 | PBE-GGA | optimized geometry

```
PmSm2Dy8
1.0
5.5305 -0.5295 -0.3699
0.6247 9.7772 2.5592
0.6247 5.7676 8.2992
Dy Sm Pm
8 2 1
direct
0.2332 0.1869 0.1869
0.7329 0.3976 0.8645
0.2671 0.6024 0.1355
0.7668 0.8131 0.8131
0.2671 0.1355 0.6024
0.7329 0.8645 0.3976
0.7626 0.4540 0.4540
0.2374 0.5460 0.5460
0.2519 0.7157 0.7157
0.7481 0.2843 0.2843
0.0000 0.0000 0.0000
```

## Properties
Fermi-level density of states   17.91 states/eV/f.u.
Total moment   0.00 μB/atom

---

Least stable structure: Q

---

--- P ---
Pm7SmDy12 | PBE-GGA | optimized geometry

```
Pm7SmDy12
1.0
-7.9675 0.5830 5.6706
-2.6813 -2.0385 -9.1996
5.8722 -7.0957 3.3384
Pm Dy Sm
7 12 1
direct
0.5000 0.0000 0.0000
0.5000 0.0000 0.5000
0.0000 0.0000 0.5000
0.5000 0.5000 0.0000
0.0000 0.5000 0.0000
0.0000 0.5000 0.5000
0.5000 0.5000 0.5000
0.2492 0.7508 0.0000
0.4984 0.2492 0.2492
0.2492 0.2492 0.4984
0.0000 0.2492 0.7508
0.7508 0.0000 0.2492
0.5016 0.7508 0.7508
0.7508 0.2492 0.0000
0.7508 0.5016 0.7508
0.2492 0.0000 0.7508
0.2492 0.4984 0.2492
0.0000 0.7508 0.2492
0.7508 0.7508 0.5016
0.0000 0.0000 0.0000
```

## Properties
Fermi-level density of states   27.39 states/eV/f.u.
Total moment   0.00 μB/atom

---

--- Q ---
Pm7SmDy12 | PBE-GGA | optimized geometry

```
Pm7SmDy12
1.0
8.4749 1.2880 1.9333
-1.1193 8.4988 1.9333
-1.1193 -1.4893 8.5878
Dy Pm Sm
12 7 1
direct
0.8523 0.2554 0.7256
0.2744 0.1477 0.7446
0.7446 0.2744 0.1477
0.1332 0.4958 0.6187
0.1477 0.7446 0.2744
0.7256 0.8523 0.2554
0.5042 0.3813 0.8668
0.4958 0.6187 0.1332
0.8668 0.5042 0.3813
0.3813 0.8668 0.5042
0.2554 0.7256 0.8523
0.6187 0.1332 0.4958
0.1549 0.3983 0.0758
0.6017 0.9242 0.8451
0.8451 0.6017 0.9242
0.0758 0.1549 0.3983
0.9242 0.8451 0.6017
0.5000 0.5000 0.5000
0.3983 0.0758 0.1549
0.0000 0.0000 0.0000
```

## Properties
Fermi-level density of states   36.66 states/eV/f.u.
Total moment   0.00 μB/atom

---

Least stable structure: P

---

--- P ---
Pm5Sm2Dy2 | PBE-GGA | optimized geometry

```
Pm5Sm2Dy2
1.0
-10.7408 3.3540 3.9900
-1.8109 -6.5557 0.6360
8.8742 1.5646 4.7121
Sm Dy Pm
4 4 10
direct
0.7451 0.8452 0.5000
0.5000 0.5375 0.0000
0.0000 0.0375 0.0000
0.2549 0.3452 0.5000
0.8686 0.4287 0.7466
0.1314 0.6821 0.2534
0.6219 0.1821 0.2534
0.3781 0.9287 0.7466
0.8066 0.7614 0.1032
0.3761 0.0281 0.2873
0.9881 0.1539 0.5000
0.2034 0.1582 0.8968
0.7966 0.2614 0.1032
0.1934 0.6582 0.8968
0.6239 0.7408 0.7127
0.5887 0.2408 0.7127
0.4113 0.5281 0.2873
0.0119 0.6539 0.5000
```

## Properties
Fermi-level density of states   13.65 states/eV/f.u.
Total moment   0.00 μB/atom

---

--- Q ---
Pm5Sm2Dy2 | PBE-GGA | optimized geometry

```
Pm5Sm2Dy2
1.0
4.9075 0.0000 1.4921
1.3906 8.4560 4.2425
0.2547 1.3755 7.9784
Sm Dy Pm
2 2 5
direct
0.8898 0.6661 0.5542
0.1102 0.3339 0.4458
0.4447 0.3350 0.7756
0.5553 0.6650 0.2244
0.2221 0.6659 0.8900
0.0000 0.0000 0.0000
0.6663 0.9993 0.6682
0.3337 0.0007 0.3318
0.7779 0.3341 0.1100
```

## Properties
Fermi-level density of states   12.58 states/eV/f.u.
Total moment   0.00 μB/atom

---

Least stable structure: P

---

--- P ---
Pm2Sm5Dy4 | PBE-GGA | optimized geometry

```
Pm2Sm5Dy4
1.0
3.5271 0.0000 0.0000
0.0000 9.1525 0.0000
-1.7636 -4.5762 11.7355
Sm Dy Pm
5 4 2
direct
0.1441 0.9460 0.2883
0.5000 0.0000 0.0000
0.8559 0.6577 0.7117
0.1441 0.3423 0.2883
0.8559 0.0540 0.7117
0.0000 0.6893 0.0000
0.5966 0.5966 0.1932
0.4034 0.4034 0.8068
0.0000 0.3107 0.0000
0.2685 0.2685 0.5370
0.7315 0.7315 0.4630
```

## Properties
Fermi-level density of states   16.09 states/eV/f.u.
Total moment   0.00 μB/atom

---

--- Q ---
Pm2Sm5Dy4 | PBE-GGA | optimized geometry

```
Pm2Sm5Dy4
1.0
-0.3527 -0.0045 -3.5313
5.2478 -10.4262 -0.5107
-7.9574 -3.4283 2.5823
Sm Dy Pm
5 4 2
direct
0.5000 0.0000 0.0000
0.8239 0.9318 0.6477
0.9043 0.4643 0.8087
0.0957 0.5357 0.1913
0.1761 0.0682 0.3523
0.9669 0.7421 0.9337
0.6402 0.7970 0.2804
0.0331 0.2579 0.0663
0.3598 0.2030 0.7196
0.7158 0.3509 0.4316
0.2842 0.6491 0.5684
```

## Properties
Fermi-level density of states   15.80 states/eV/f.u.
Total moment   0.00 μB/atom

---

Least stable structure: P

---

--- P ---
PmSm2Dy2 | PBE-GGA | optimized geometry

```
PmSm2Dy2
1.0
6.1025 0.6680 -1.4145
-1.9299 5.7445 -1.7212
-0.1404 -0.6490 9.3866
Dy Pm Sm
4 2 4
direct
0.1106 0.7488 0.9671
0.7817 0.6435 0.5329
0.2183 0.3565 0.4671
0.8894 0.2512 0.0329
0.7028 0.9528 0.2500
0.2972 0.0472 0.7500
0.7833 0.2080 0.6527
0.4447 0.3694 0.1527
0.2167 0.7920 0.3473
0.5553 0.6306 0.8473
```

## Properties
Fermi-level density of states   6.94 states/eV/f.u.
Total moment   0.00 μB/atom

---

--- Q ---
PmSm2Dy2 | PBE-GGA | optimized geometry

```
PmSm2Dy2
1.0
6.3944 -0.8278 0.0000
-3.2853 5.5480 0.0000
-1.5545 -2.3601 11.3805
Dy Sm Pm
4 4 2
direct
0.6250 0.3750 0.2500
0.6250 0.3750 0.7500
0.1250 0.3750 0.7500
0.6250 0.8750 0.2500
0.4150 0.5850 0.5000
0.1650 0.8350 0.0000
0.0850 0.9150 0.5000
0.8350 0.1650 0.0000
0.5000 0.5000 0.0000
0.7500 0.2500 0.5000
```

## Properties
Fermi-level density of states   8.65 states/eV/f.u.
Total moment   0.00 μB/atom

---

Least stable structure: Q